The following is a PBE-GGA calculation of an optimized crystal structure of K2CdBi, from the Alexandria database.

a b c (Å): 6.2925 7.1138 7.1138
angles (deg): 99.75 90.00 90.00
Last column: nearest neighbours and their distance in Å.
Element x y z (fractional)
K (0.7500, 0.9733, 0.3261)  4 Bi 3.73-3.84, 5 K 3.84-4.18, 4 Cd 4.06-4.09
K (0.2500, 0.0267, 0.6739)  4 Bi 3.73-3.84, 5 K 3.84-4.18, 4 Cd 4.06-4.09
K (0.2500, 0.6739, 0.0267)  4 Bi 3.73-3.84, 5 K 3.84-4.18, 4 Cd 4.06-4.09
K (0.7500, 0.3261, 0.9733)  4 Bi 3.73-3.84, 5 K 3.84-4.18, 4 Cd 4.06-4.09
Cd (0.5000, 0.5000, 0.5000)  2 Bi 3.06, 2 Cd 3.15
Cd (0.0000, 0.5000, 0.5000)  2 Bi 3.06, 2 Cd 3.15
Bi (0.2500, 0.2136, 0.2136)  2 Cd 3.06
Bi (0.7500, 0.7864, 0.7864)  2 Cd 3.06

Results
ΔH_f (0 K) = -24.3 kJ per mole of atoms
E_tot = -16.001 eV for the cell shown
Size of the total moment = 0.0 μB per cell
Excess energy over the best structure of this formula in the dataset = 0.000 eV per atom